Record 1
Tb6Sm3Mg: relaxed, PBE.

Unit cell a=10.4222 b=10.4222 c=10.4222 alpha=52.24 beta=52.24 gamma=52.24
Sites, in units of the cell vectors:
Tb 0.1180 0.7014 0.8600
Tb 0.1400 0.8820 0.2986
Tb 0.0250 0.5864 0.7056
Tb 0.2986 0.1400 0.8820
Tb 0.5864 0.7056 0.0250
Tb 0.2944 0.9750 0.4136
Tb 0.7056 0.0250 0.5864
Tb 0.4136 0.2944 0.9750
Tb 0.7014 0.8600 0.1180
Tb 0.9750 0.4136 0.2944
Tb 0.8600 0.1180 0.7014
Tb 0.8820 0.2986 0.1400
Sm 0.2735 0.5741 0.1511
Sm 0.1511 0.2735 0.5741
Sm 0.4259 0.8489 0.7265
Sm 0.5741 0.1511 0.2735
Sm 0.8489 0.7265 0.4259
Sm 0.7265 0.4259 0.8489
Mg 0.0000 0.0000 0.0000
Mg 0.5000 0.5000 0.5000

Values from the calculation:
Spin magnetization = 0.000 Bohr magnetons per cell
Energy relative to the lowest polymorph listed for this composition = 1.483 kcal/mol of atoms
VASP energy = -4.1696 eV per atom
Space group = No. 148

Record 2
BeVIN2: relaxed, PBE.

Unit cell a=3.7400 b=3.7400 c=5.7372 alpha=90.00 beta=90.00 gamma=90.00
Sites, in units of the cell vectors:
I 0.0000 0.0000 0.5000
Be 0.5000 0.5000 0.5000
N 0.0000 0.5000 0.0000
N 0.5000 0.0000 0.0000
V 0.0000 0.0000 0.0000

Values from the calculation:
Spin magnetization = 0.003 Bohr magnetons per cell
Energy relative to the lowest polymorph listed for this composition = 0.000 kcal/mol of atoms
VASP energy = -5.5271 eV per atom
Formation energy from raw total energies = 329 kJ/mol of formula units
Space group = No. 123

Record 3
Cs2LiS: relaxed, PBE.

Unit cell a=4.6162 b=10.1876 c=10.2185 alpha=104.38 beta=103.05 gamma=90.00
Sites, in units of the cell vectors:
Cs 0.1300 0.5626 0.2515
Cs 0.8700 0.4374 0.7485
Cs 0.1215 0.0626 0.2515
Cs 0.8785 0.9374 0.7485
Li 0.4984 0.7500 0.0000
Li 0.5016 0.2500 0.0000
S 0.0016 0.2500 0.0000
S 0.9984 0.7500 0.0000

Values from the calculation:
Spin magnetization = 0.000 Bohr magnetons per cell
Energy relative to the lowest polymorph listed for this composition = 0.000 kcal/mol of atoms
VASP energy = -2.7029 eV per atom
Formation energy from raw total energies = -296 kJ/mol of formula units
Space group = No. 15

Record 4
AlTcOs2: relaxed, PBE.

Unit cell a=4.3300 b=4.3300 c=4.3300 alpha=60.00 beta=60.00 gamma=60.00
Sites, in units of the cell vectors:
Os 0.0000 0.0000 0.0000
Os 0.2500 0.2500 0.2500
Tc 0.7500 0.7500 0.7500
Al 0.5000 0.5000 0.5000

Values from the calculation:
Spin magnetization = 0.001 Bohr magnetons per cell
VASP energy = -9.0760 eV per atom
Space group = No. 216

Record 5
TcBIr3: relaxed, PBE.

Unit cell a=4.1142 b=4.1142 c=4.1142 alpha=90.00 beta=90.00 gamma=90.00
Sites, in units of the cell vectors:
B 0.0000 0.0000 0.0000
Ir 0.0000 0.5000 0.0000
Ir 0.0000 0.0000 0.5000
Ir 0.5000 0.0000 0.0000
Tc 0.5000 0.5000 0.5000

Values from the calculation:
Spin magnetization = 2.888 Bohr magnetons per cell
Energy relative to the lowest polymorph listed for this composition = 0.000 kcal/mol of atoms
VASP energy = -8.3961 eV per atom
Space group = No. 221

Record 6
GePb: relaxed, PBE.

Unit cell a=6.4296 b=6.4296 c=6.4296 alpha=90.00 beta=90.00 gamma=90.00
Sites, in units of the cell vectors:
Ge 0.2500 0.2500 0.2500
Ge 0.2500 0.7500 0.7500
Ge 0.7500 0.2500 0.7500
Ge 0.7500 0.7500 0.2500
Pb 0.0000 0.0000 0.0000
Pb 0.0000 0.5000 0.5000
Pb 0.5000 0.0000 0.5000
Pb 0.5000 0.5000 0.0000

Values from the calculation:
Spin magnetization = 0.000 Bohr magnetons per cell
VASP energy = -3.9094 eV per atom
Space group = No. 216

Number 6 is which compound?
GePb

Which value of spin magnetization does entry 3 give?
0.000 Bohr magnetons per cell